Density functional theory data (GGA-PBE) for crystalline ZrTiFeCo at its relaxed geometry.

```
ZrTiFeCo
1.0
4.365 0.000 0.000
2.182 3.780 0.000
2.182 1.260 3.564
Zr Co Ti Fe
1 1 1 1
Cartesian
6.547 3.780 2.673 Zr
4.365 2.520 1.782 Co
2.182 1.260 0.891 Ti
0.000 0.000 0.000 Fe
```

E_form	-269	meV/atom
density of states at the Fermi level	0.965	states/eV per atom
space group	F-43m, No. 216
magnetic moment	1.02	μB/f.u.

***

Density functional theory data (GGA-PBE) for crystalline TlFeCo at its relaxed geometry.

```
TlFeCo
1.0
4.207 0.000 0.000
-2.104 3.644 0.000
0.000 0.000 3.021
Co Tl Fe
1 1 1
Cartesian
0.000 0.000 0.332 Co
2.104 1.215 2.028 Tl
0.000 2.429 0.660 Fe
```

E_form	537	meV/atom
density of states at the Fermi level	0.863	states/eV per atom
space group	P3m1, No. 156
magnetic moment	4.01	μB/f.u.
excess energy over the best structure of this formula in the dataset	110.0	meV per atom

***

Density functional theory data (GGA-PBE) for crystalline Tl2FeCo at its relaxed geometry.

```
Tl2FeCo
1.0
3.406 0.000 0.000
0.000 5.111 0.000
0.000 0.000 4.285
Tl Fe Co
2 1 1
Cartesian
1.703 2.555 0.000 Tl
0.000 0.000 0.000 Tl
0.000 2.555 2.143 Fe
1.703 0.000 2.143 Co
```

E_form	750	meV/atom
density of states at the Fermi level	0.906	states/eV per atom
space group	Pmmm, No. 47
magnetic moment	4.00	μB/f.u.
excess energy over the best structure of this formula in the dataset	353.2	meV per atom

***

Density functional theory data (GGA-PBE) for crystalline Tl2FeCo at its relaxed geometry.

```
Tl2FeCo
1.0
5.376 0.036 0.051
1.797 5.067 -0.051
-2.817 -3.634 2.787
Tl Fe Co
2 1 1
Cartesian
0.050 0.036 0.000 Tl
3.536 2.516 0.000 Tl
3.073 -0.523 1.419 Fe
1.284 1.992 1.368 Co
```

E_form	748	meV/atom
density of states at the Fermi level	0.967	states/eV per atom
space group	Immm, No. 71
magnetic moment	4.08	μB/f.u.
excess energy over the best structure of this formula in the dataset	350.9	meV per atom

***

Density functional theory data (GGA-PBE) for crystalline Tl2FeCo at its relaxed geometry.

```
Tl2FeCo
1.0
-3.108 2.227 6.299
-6.469 -2.741 -2.223
-4.124 -2.828 3.275
Fe Co Tl
2 2 4
Cartesian
-7.691 -2.913 1.545 Fe
-4.789 -0.257 2.038 Fe
0.000 0.000 0.000 Co
-6.011 -0.429 5.806 Co
-3.819 0.368 4.551 Tl
-6.609 -2.282 4.010 Tl
-11.549 -2.603 5.996 Tl
-5.426 -2.168 0.143 Tl
```

E_form	866	meV/atom
density of states at the Fermi level	1.536	states/eV per atom
space group	I-42d, No. 122
magnetic moment	4.11	μB/f.u.
excess energy over the best structure of this formula in the dataset	469.0	meV per atom

***

Density functional theory data (GGA-PBE) for crystalline Tl3FeCo at its relaxed geometry.

```
Tl3FeCo
1.0
-2.684 -1.155 4.101
4.104 -2.003 2.122
1.145 4.474 2.009
Co Tl Fe
1 3 1
Cartesian
0.000 0.000 0.000 Co
2.052 -1.002 1.061 Tl
0.572 2.237 1.004 Tl
-1.342 -0.577 2.051 Tl
1.282 0.658 4.116 Fe
```

E_form	797	meV/atom
density of states at the Fermi level	1.328	states/eV per atom
space group	Pm-3m, No. 221
magnetic moment	3.33	μB/f.u.
excess energy over the best structure of this formula in the dataset	0.0	meV per atom

***

Density functional theory data (GGA-PBE) for crystalline TlFeCo2 at its relaxed geometry.

```
TlFeCo2
1.0
-3.074 -2.648 0.854
2.591 -2.259 2.319
-0.798 1.770 2.615
Tl Fe Co
1 1 2
Cartesian
0.896 -0.245 2.467 Tl
-1.936 -0.439 1.735 Fe
-0.241 -2.453 1.587 Co
0.000 0.000 0.000 Co
```

E_form	412	meV/atom
density of states at the Fermi level	0.815	states/eV per atom
space group	P4/mmm, No. 123
magnetic moment	5.39	μB/f.u.
excess energy over the best structure of this formula in the dataset	103.8	meV per atom

***

Density functional theory data (GGA-PBE) for crystalline TlFe3Co at its relaxed geometry.

```
TlFe3Co
1.0
-2.905 -3.108 -1.169
3.073 -3.105 0.618
-1.258 -0.407 4.209
Co Fe Tl
1 3 1
Cartesian
0.000 0.000 0.000 Co
-0.629 -0.204 2.105 Fe
1.537 -1.552 0.309 Fe
-1.452 -1.554 -0.584 Fe
-0.545 -3.310 1.829 Tl
```

E_form	842	meV/atom
density of states at the Fermi level	0.796	states/eV per atom
space group	Pm-3m, No. 221
magnetic moment	10.29	μB/f.u.
excess energy over the best structure of this formula in the dataset	0.0	meV per atom

***

Density functional theory data (GGA-PBE) for crystalline TlFeCo2 at its relaxed geometry.

```
TlFeCo2
1.0
-0.971 4.274 -0.498
-3.383 2.828 0.120
0.220 1.629 4.671
Fe Co Tl
1 2 1
Cartesian
-3.101 6.549 3.220 Fe
-1.987 4.346 2.414 Co
0.140 1.649 4.403 Co
-1.034 2.183 1.073 Tl
```

E_form	420	meV/atom
density of states at the Fermi level	0.773	states/eV per atom
space group	C2/m, No. 12
magnetic moment	5.60	μB/f.u.
excess energy over the best structure of this formula in the dataset	111.9	meV per atom

***

Density functional theory data (GGA-PBE) for crystalline TlFeCo2 at its relaxed geometry.

```
TlFeCo2
1.0
-6.439 -2.202 0.790
0.737 -4.105 -5.436
-2.005 -5.068 -0.763
Fe Co Tl
2 4 2
Cartesian
-2.851 -3.154 -2.323 Fe
-2.060 -6.163 -4.260 Fe
-3.607 -6.362 -2.573 Co
-6.529 -9.124 -4.377 Co
-1.153 -4.213 -3.451 Co
-4.127 -3.051 -0.414 Co
-5.648 -5.212 -1.148 Tl
0.000 0.000 0.000 Tl
```

E_form	670	meV/atom
density of states at the Fermi level	1.724	states/eV per atom
space group	I-42d, No. 122
magnetic moment	5.40	μB/f.u.
excess energy over the best structure of this formula in the dataset	361.8	meV per atom

***

Density functional theory data (GGA-PBE) for crystalline Tl2FeCo at its relaxed geometry.

```
Tl2FeCo
1.0
-2.802 -3.545 1.400
1.235 -2.669 3.705
-2.396 0.342 4.064
Fe Co Tl
1 1 2
Cartesian
-0.991 -1.468 2.292 Fe
-1.981 -2.936 4.585 Co
-2.972 -4.404 6.877 Tl
0.000 0.000 0.000 Tl
```

E_form	839	meV/atom
density of states at the Fermi level	0.914	states/eV per atom
space group	F-43m, No. 216
magnetic moment	3.86	μB/f.u.
excess energy over the best structure of this formula in the dataset	442.1	meV per atom

***

Density functional theory data (GGA-PBE) for crystalline TlFeCo2 at its relaxed geometry.

```
TlFeCo2
1.0
0.321 -2.760 3.253
-3.475 -2.057 1.411
-0.435 -4.197 -0.705
Co Fe Tl
2 1 1
Cartesian
-0.897 -2.254 0.990 Co
-2.692 -6.761 2.969 Co
0.000 0.000 0.000 Fe
-1.795 -4.507 1.979 Tl
```

E_form	353	meV/atom
density of states at the Fermi level	0.397	states/eV per atom
space group	Fm-3m, No. 225
magnetic moment	5.18	μB/f.u.
excess energy over the best structure of this formula in the dataset	45.0	meV per atom

***

Q: Which of these has the lowest magnetic moment?
A: ZrTiFeCo